{
  "formula": "CaBeIrO5",
  "functional": "PBE",
  "state": "relaxed",
  "lattice_angstrom": [[5.406, -0.002, -0.071], [-1.580, 5.170, -0.071], [-1.675, -2.263, 6.542]],
  "species": ["O", "O", "O", "O", "O", "O", "O", "O", "O", "O", "Ca", "Ca", "Ir", "Ir", "Be", "Be"],
  "frac_coords": [[0.922, 0.078, 0.750], [0.755, 0.619, 0.414], [0.619, 0.755, 0.914], [0.690, 0.104, 0.385], [0.896, 0.310, 0.115], [0.310, 0.896, 0.615], [0.104, 0.690, 0.885], [0.381, 0.245, 0.086], [0.245, 0.381, 0.586], [0.078, 0.922, 0.250], [0.342, 0.658, 0.250], [0.658, 0.342, 0.750], [0.000, 0.000, 0.500], [0.000, 0.000, 0.000], [0.308, 0.692, 0.750], [0.692, 0.308, 0.250]],
  "e_form_raw_ev_per_fu": -13.946,
  "space_group": "C2/c",
  "magmom_total_mub_per_fu": 0.0,
  "dft_energy_ev_per_atom": -6.666
}